1.
The following is a PBE-GGA calculation of a relaxed K2SrTe2O6 crystal, from Alexandria.

a = 5.8183 Å, b = 5.8183 Å, c = 7.6402 Å
α = 109.14°, β = 109.14°, γ = 66.75°
Atoms (fractional coordinates):
K 0.1963 0.1963 0.1302
K 0.8037 0.8037 0.8698
Sr 0.0000 0.0000 0.5000
Te 0.4140 0.4140 0.7547
Te 0.5860 0.5860 0.2453
O 0.2281 0.6915 0.2320
O 0.2686 0.2686 0.5068
O 0.3085 0.7719 0.7680
O 0.6915 0.2281 0.2320
O 0.7314 0.7314 0.4932
O 0.7719 0.3085 0.7680

## Properties
Density of states at the Fermi level, states/eV/cell: 0.00
E_tot, eV per atom: -5.2868
Formation energy without anion corrections, kJ/mol of atoms: -160.03


2.
The following is a PBE-GGA calculation of a relaxed K2SrTeO crystal, from Alexandria.

a = 5.3414 Å, b = 5.3414 Å, c = 4.9851 Å
α = 90.00°, β = 90.00°, γ = 90.00°
Atoms (fractional coordinates):
K 0.0000 0.5000 0.0000
K 0.5000 0.0000 0.0000
Sr 0.0000 0.0000 0.5000
Te 0.5000 0.5000 0.5000
O 0.0000 0.0000 0.0000

## Properties
Density of states at the Fermi level, states/eV/cell: 0.00
E_tot, eV per atom: -3.8889
Formation energy without anion corrections, kJ/mol of atoms: -144.11


3.
The following is a PBE-GGA calculation of a relaxed KSrTiO4 crystal, from Alexandria.

a = 7.0338 Å, b = 7.0338 Å, c = 5.6478 Å
α = 90.00°, β = 90.00°, γ = 133.14°
Atoms (fractional coordinates):
K 0.0963 0.9037 0.7500
K 0.9037 0.0963 0.2500
Sr 0.3900 0.6100 0.7500
Sr 0.6100 0.3900 0.2500
Ti 0.2609 0.7391 0.2500
Ti 0.7391 0.2609 0.7500
O 0.0000 0.5000 0.0000
O 0.0000 0.5000 0.5000
O 0.1082 0.8918 0.2500
O 0.4091 0.5909 0.2500
O 0.5000 0.0000 0.0000
O 0.5000 0.0000 0.5000
O 0.5909 0.4091 0.7500
O 0.8918 0.1082 0.7500

## Properties
Density of states at the Fermi level, states/eV/cell: 5.31
E_tot, eV per atom: -6.7945
Formation energy without anion corrections, kJ/mol of atoms: -235.07


Magnetic moment for the records above, in order: 0.0 0.0 1.0 μB per formula unit